A plane-wave DFT calculation with PBE was carried out for a relaxed structure of MnCuAgCl6.

Cell: 6.2350 6.2350 11.7920 Å, 90.00 90.00 120.00°
Last column: magnetic moment on the atom in μB.
Fractional positions:
Cu: 0.6667 0.3333 0.7500  -0.38
Cu: 0.3333 0.6667 0.2500  -0.38
Cl: 0.0123 0.3633 0.6360  -0.04
Cl: 0.3510 0.9877 0.6360  -0.04
Cl: 0.3510 0.3633 0.8640  -0.04
Cl: 0.6367 0.9877 0.8640  -0.04
Cl: 0.9877 0.3510 0.1360  -0.04
Cl: 0.3633 0.0123 0.1360  -0.04
Cl: 0.6367 0.6490 0.6360  -0.04
Cl: 0.6490 0.0123 0.3640  -0.04
Cl: 0.9877 0.6367 0.3640  -0.04
Cl: 0.6490 0.6367 0.1360  -0.04
Cl: 0.3633 0.3510 0.3640  -0.04
Cl: 0.0123 0.6490 0.8640  -0.04
Ag: 0.0000 0.0000 0.5000  -0.07
Ag: 0.0000 0.0000 0.0000  -0.07
Mn: 0.6667 0.3333 0.2500  3.52
Mn: 0.3333 0.6667 0.7500  3.52

Computed properties:
Formation energy (no corrections) in eV/atom: -0.6605
M_tot in μB/cell: 5.958
Space group: No. 163


A plane-wave DFT calculation with PBE was carried out for a relaxed structure of MnCu2AgCl8.

Cell: 7.1019 7.1019 7.1019 Å, 111.91 111.91 104.71°
Last column: magnetic moment on the atom in μB.
Fractional positions:
Ag: 0.0000 0.0000 0.0000  0.00
Cl: 0.3170 0.5276 0.2105  -0.04
Cl: 0.9392 0.6317 0.6925  0.00
Cl: 0.9392 0.2467 0.3075  0.00
Cl: 0.4724 0.6830 0.7895  -0.04
Cl: 0.8935 0.6830 0.2105  -0.04
Cl: 0.3683 0.0608 0.3075  0.00
Cl: 0.3170 0.1065 0.7895  -0.04
Cl: 0.7533 0.0608 0.6925  0.00
Mn: 0.2500 0.7500 0.5000  3.95
Cu: 0.7500 0.2500 0.5000  -0.08
Cu: 0.5000 0.5000 0.0000  -0.33

Computed properties:
Formation energy (no corrections) in eV/atom: -0.5010
M_tot in μB/cell: 3.625
Space group: No. 119


A plane-wave DFT calculation with PBE was carried out for a relaxed structure of MnCuAg2Cl6.

Cell: 6.6869 6.6869 7.3588 Å, 62.93 63.06 59.98°
Last column: magnetic moment on the atom in μB.
Fractional positions:
Cl: 0.5664 0.2253 0.2302  0.01
Cl: 0.9787 0.5655 0.2301  0.01
Cl: 0.6933 0.0999 0.7694  -0.02
Cl: 0.0985 0.4376 0.7699  -0.02
Cl: 0.2266 0.9777 0.2299  0.01
Cl: 0.4367 0.6941 0.7698  -0.02
Mn: 0.3299 0.3299 0.0104  3.95
Ag: 0.0102 0.0103 0.9691  -0.02
Ag: 0.5840 0.5826 0.2500  -0.01
Cu: 0.7373 0.7386 0.7863  -0.19

Computed properties:
Formation energy (no corrections) in eV/atom: -0.6397
M_tot in μB/cell: 3.962
Space group: No. 1


A plane-wave DFT calculation with PBE was carried out for a relaxed structure of NaCuAgCl4.

Cell: 6.7509 7.0767 7.4032 Å, 90.00 105.72 90.00°
Last column: magnetic moment on the atom in μB.
Fractional positions:
Cl: 0.9751 0.4913 0.7379  0.08
Cl: 0.0249 0.9913 0.2621  0.08
Cl: 0.5157 0.2500 0.8568  0.11
Cl: 0.5287 0.2500 0.3807  0.12
Cl: 0.0249 0.5087 0.2621  0.08
Cl: 0.4713 0.7500 0.6193  0.12
Cl: 0.9751 0.0087 0.7379  0.08
Cl: 0.4843 0.7500 0.1432  0.11
Na: 0.2080 0.2500 0.0473  0.00
Na: 0.7920 0.7500 0.9527  0.00
Cu: 0.2633 0.7500 0.3254  0.46
Cu: 0.7367 0.2500 0.6746  0.46
Ag: 0.7809 0.7500 0.4555  0.11
Ag: 0.2191 0.2500 0.5445  0.11

Computed properties:
Formation energy (no corrections) in eV/atom: -0.7755
M_tot in μB/cell: 2.105
Space group: No. 11


Quick rundown of Fermi-level density of states, same order as above: 11.79; 8.90; 4.03; 12.38 states/eV/cell